# TeAsPb2 (PBE-GGA, optimized geometry)
data_TeAsPb2
_cell_length_a 4.5271
_cell_length_b 4.5271
_cell_length_c 11.3585
_cell_angle_alpha 90.00
_cell_angle_beta 90.00
_cell_angle_gamma 90.00
_symmetry_space_group_name_H-M 'I -4 m 2'
_symmetry_Int_Tables_number 119
_symmetry_space_group_name_Hall 'I -4 -2'
loop_
_atom_site_label
_atom_site_type_symbol
_atom_site_fract_x
_atom_site_fract_y
_atom_site_fract_z
Te1 Te 0.0000 0.0000 0.0000
As1 As 0.0000 0.5000 0.7500
Pb1 Pb 0.0000 0.0000 0.5000
Pb2 Pb 0.0000 0.5000 0.2500
# Total DFT energy (no corrections) ... -3.71 eV/atom
# ΔE to the lowest computed polymorph ... 0.88 eV/f.u.
# Theoretical density ... 8.80 g/cm3
# ΔE_f (raw) ... 0.0934 eV per atom

# TeAsPb2 (PBE-GGA, optimized geometry)
data_TeAsPb2
_cell_length_a 6.7175
_cell_length_b 8.3383
_cell_length_c 4.1265
_cell_angle_alpha 90.00
_cell_angle_beta 90.00
_cell_angle_gamma 90.00
_symmetry_space_group_name_H-M 'C m m m'
_symmetry_Int_Tables_number 65
_symmetry_space_group_name_Hall '-C 2 2'
loop_
_atom_site_label
_atom_site_type_symbol
_atom_site_fract_x
_atom_site_fract_y
_atom_site_fract_z
Te1 Te 0.0000 0.0000 0.0000
As1 As 0.0000 0.5000 0.0000
Pb1 Pb 0.2500 0.2500 0.5000
# Total DFT energy (no corrections) ... -3.75 eV/atom
# ΔE to the lowest computed polymorph ... 0.70 eV/f.u.
# Theoretical density ... 8.86 g/cm3
# ΔE_f (raw) ... 0.0491 eV per atom

# Te2As2Pb (PBE-GGA, optimized geometry)
data_Te2As2Pb
_cell_length_a 3.9236
_cell_length_b 3.9236
_cell_length_c 17.8523
_cell_angle_alpha 90.00
_cell_angle_beta 90.00
_cell_angle_gamma 90.00
_symmetry_space_group_name_H-M 'I 4/m m m'
_symmetry_Int_Tables_number 139
_symmetry_space_group_name_Hall '-I 4 2'
loop_
_atom_site_label
_atom_site_type_symbol
_atom_site_fract_x
_atom_site_fract_y
_atom_site_fract_z
Te1 Te 0.0000 0.0000 0.1075
As1 As 0.0000 0.5000 0.2500
Pb1 Pb 0.0000 0.0000 0.5000
# Total DFT energy (no corrections) ... -3.70 eV/atom
# ΔE to the lowest computed polymorph ... 0.39 eV/f.u.
# Theoretical density ... 7.40 g/cm3
# ΔE_f (raw) ... 0.1611 eV per atom

# TeAsPb2 (PBE-GGA, optimized geometry)
data_TeAsPb2
_cell_length_a 3.7921
_cell_length_b 5.5757
_cell_length_c 10.6823
_cell_angle_alpha 90.00
_cell_angle_beta 90.00
_cell_angle_gamma 90.00
_symmetry_space_group_name_H-M 'I m m 2'
_symmetry_Int_Tables_number 44
loop_
_symmetry_equiv_pos_as_xyz
'x,y,z'
'-x,-y,z'
'-x,y,z'
'x,-y,z'
'x+1/2,y+1/2,z+1/2'
'-x+1/2,-y+1/2,z+1/2'
'-x+1/2,y+1/2,z+1/2'
'x+1/2,-y+1/2,z+1/2'
loop_
_atom_site_label
_atom_site_type_symbol
_atom_site_fract_x
_atom_site_fract_y
_atom_site_fract_z
Te1 Te 0.0000 0.0000 0.0000
As1 As 0.0000 0.5000 0.7169
Pb1 Pb 0.0000 0.0000 0.4425
Pb2 Pb 0.0000 0.5000 0.2320
# Total DFT energy (no corrections) ... -3.75 eV/atom
# ΔE to the lowest computed polymorph ... 0.70 eV/f.u.
# Theoretical density ... 9.07 g/cm3
# ΔE_f (raw) ... 0.0486 eV per atom

# Te5As3Pb12 (PBE-GGA, optimized geometry)
data_Te5As3Pb12
_cell_length_a 18.2857
_cell_length_b 18.2857
_cell_length_c 18.2857
_cell_angle_alpha 90.00
_cell_angle_beta 90.00
_cell_angle_gamma 90.00
_symmetry_space_group_name_H-M 'I a -3 d'
_symmetry_Int_Tables_number 230
_symmetry_space_group_name_Hall '-I 4bd 2c 3'
loop_
_atom_site_label
_atom_site_type_symbol
_atom_site_fract_x
_atom_site_fract_y
_atom_site_fract_z
Te1 Te 0.0000 0.0000 0.0000
Te2 Te 0.0000 0.2500 0.3750
As1 As 0.0000 0.2500 0.1250
Pb1 Pb 0.0158 0.0880 0.6518
# Total DFT energy (no corrections) ... -3.67 eV/atom
# Theoretical density ... 7.28 g/cm3
# ΔE_f (raw) ... 0.0398 eV per atom

# TeAsPb (PBE-GGA, optimized geometry)
data_TeAsPb
_cell_length_a 4.2457
_cell_length_b 4.7150
_cell_length_c 17.5815
_cell_angle_alpha 90.00
_cell_angle_beta 90.00
_cell_angle_gamma 90.00
_symmetry_space_group_name_H-M 'F m m 2'
_symmetry_Int_Tables_number 42
_symmetry_space_group_name_Hall 'F 2 -2'
loop_
_atom_site_label
_atom_site_type_symbol
_atom_site_fract_x
_atom_site_fract_y
_atom_site_fract_z
Te1 Te 0.0000 0.0000 0.0000
As1 As 0.0000 0.0000 0.6954
Pb1 Pb 0.0000 0.0000 0.3227
# Total DFT energy (no corrections) ... -3.57 eV/atom
# ΔE to the lowest computed polymorph ... 0.59 eV/f.u.
# Theoretical density ... 7.73 g/cm3
# ΔE_f (raw) ... 0.2640 eV per atom

# TeAsPb (PBE-GGA, optimized geometry)
data_TeAsPb
_cell_length_a 11.0107
_cell_length_b 3.7326
_cell_length_c 4.3574
_cell_angle_alpha 90.00
_cell_angle_beta 98.99
_cell_angle_gamma 90.00
_symmetry_space_group_name_H-M 'C 1 m 1'
_symmetry_Int_Tables_number 8
loop_
_symmetry_equiv_pos_as_xyz
'x,y,z'
'x,-y,z'
'x+1/2,y+1/2,z'
'x+1/2,-y+1/2,z'
loop_
_atom_site_label
_atom_site_type_symbol
_atom_site_fract_x
_atom_site_fract_y
_atom_site_fract_z
Te1 Te 0.0000 0.0000 0.0000
As1 As 0.3173 0.0000 0.0744
Pb1 Pb 0.1949 0.5000 0.5401
# Total DFT energy (no corrections) ... -3.77 eV/atom
# ΔE to the lowest computed polymorph ... 0.00 eV/f.u.
# Theoretical density ... 7.69 g/cm3
# ΔE_f (raw) ... 0.0679 eV per atom

# TeAsPb (PBE-GGA, optimized geometry)
data_TeAsPb
_cell_length_a 3.1955
_cell_length_b 3.1955
_cell_length_c 17.7913
_cell_angle_alpha 90.00
_cell_angle_beta 90.00
_cell_angle_gamma 90.00
_symmetry_space_group_name_H-M 'I 4 m m'
_symmetry_Int_Tables_number 107
_symmetry_space_group_name_Hall 'I 4 -2'
loop_
_atom_site_label
_atom_site_type_symbol
_atom_site_fract_x
_atom_site_fract_y
_atom_site_fract_z
Te1 Te 0.0000 0.0000 0.0000
As1 As 0.0000 0.0000 0.7052
Pb1 Pb 0.0000 0.0000 0.3264
# Total DFT energy (no corrections) ... -3.57 eV/atom
# ΔE to the lowest computed polymorph ... 0.58 eV/f.u.
# Theoretical density ... 7.49 g/cm3
# ΔE_f (raw) ... 0.2602 eV per atom

# TeAsPb3 (PBE-GGA, optimized geometry)
data_TeAsPb3
_cell_length_a 5.6645
_cell_length_b 5.6645
_cell_length_c 5.6645
_cell_angle_alpha 90.00
_cell_angle_beta 90.00
_cell_angle_gamma 90.00
_symmetry_space_group_name_H-M 'P m -3 m'
_symmetry_Int_Tables_number 221
_symmetry_space_group_name_Hall '-P 4 2 3'
loop_
_atom_site_label
_atom_site_type_symbol
_atom_site_fract_x
_atom_site_fract_y
_atom_site_fract_z
Te1 Te 0.0000 0.0000 0.0000
As1 As 0.5000 0.5000 0.5000
Pb1 Pb 0.0000 0.5000 0.5000
# Total DFT energy (no corrections) ... -3.53 eV/atom
# ΔE to the lowest computed polymorph ... 0.00 eV/f.u.
# Theoretical density ... 7.53 g/cm3
# ΔE_f (raw) ... 0.2572 eV per atom

# TeAsPb2 (PBE-GGA, optimized geometry)
data_TeAsPb2
_cell_length_a 3.8677
_cell_length_b 4.9630
_cell_length_c 12.2033
_cell_angle_alpha 90.00
_cell_angle_beta 90.00
_cell_angle_gamma 90.00
_symmetry_space_group_name_H-M 'I m m m'
_symmetry_Int_Tables_number 71
_symmetry_space_group_name_Hall '-I 2 2'
loop_
_atom_site_label
_atom_site_type_symbol
_atom_site_fract_x
_atom_site_fract_y
_atom_site_fract_z
Te1 Te 0.0000 0.0000 0.0000
As1 As 0.0000 0.0000 0.5000
Pb1 Pb 0.0000 0.5000 0.1941
# Total DFT energy (no corrections) ... -3.71 eV/atom
# ΔE to the lowest computed polymorph ... 0.88 eV/f.u.
# Theoretical density ... 8.75 g/cm3
# ΔE_f (raw) ... 0.0929 eV per atom

# TeAsPb2 (PBE-GGA, optimized geometry)
data_TeAsPb2
_cell_length_a 3.7147
_cell_length_b 3.7147
_cell_length_c 8.2886
_cell_angle_alpha 90.00
_cell_angle_beta 90.00
_cell_angle_gamma 90.00
_symmetry_space_group_name_H-M 'P 4/m m m'
_symmetry_Int_Tables_number 123
_symmetry_space_group_name_Hall '-P 4 2'
loop_
_atom_site_label
_atom_site_type_symbol
_atom_site_fract_x
_atom_site_fract_y
_atom_site_fract_z
Te1 Te 0.0000 0.0000 0.0000
As1 As 0.0000 0.0000 0.5000
Pb1 Pb 0.5000 0.5000 0.2780
# Total DFT energy (no corrections) ... -3.76 eV/atom
# ΔE to the lowest computed polymorph ... 0.65 eV/f.u.
# Theoretical density ... 8.96 g/cm3
# ΔE_f (raw) ... 0.0374 eV per atom

# TeAsPb2 (PBE-GGA, optimized geometry)
data_TeAsPb2
_cell_length_a 3.3132
_cell_length_b 5.9171
_cell_length_c 6.6184
_cell_angle_alpha 90.00
_cell_angle_beta 102.22
_cell_angle_gamma 90.00
_symmetry_space_group_name_H-M 'P 1 m 1'
_symmetry_Int_Tables_number 6
loop_
_symmetry_equiv_pos_as_xyz
'x,y,z'
'x,-y,z'
loop_
_atom_site_label
_atom_site_type_symbol
_atom_site_fract_x
_atom_site_fract_y
_atom_site_fract_z
Te1 Te 0.0000 0.0000 0.0000
As1 As 0.0739 0.5000 0.5039
Pb1 Pb 0.3763 0.5000 0.1215
Pb2 Pb 0.8255 0.0000 0.5210
# Total DFT energy (no corrections) ... -3.81 eV/atom
# ΔE to the lowest computed polymorph ... 0.48 eV/f.u.
# Theoretical density ... 8.08 g/cm3
# ΔE_f (raw) ... -0.0054 eV per atom